No. 1
The following is a DFT calculation (PBEsol) of a relaxed structure of FeRu2Cl.

Cell lengths 2.7909, 3.8502, 5.0781 Å; angles 90.00, 105.12, 90.00 degrees
Atoms (fractional coordinates):
Cl 0.5000 0.5000 0.0000
Fe 0.5000 0.5000 0.5000
Ru 0.1443 0.0000 0.7578
Ru 0.8557 0.0000 0.2422

Summary:
**Formation energy (no corrections)**: 0.599 eV per atom

No. 2
The following is a DFT calculation (PBEsol) of a relaxed structure of LiLa3Os.

Cell lengths 5.5892, 5.5892, 5.5892 Å; angles 90.00, 90.00, 90.00 degrees
Atoms (fractional coordinates):
Li 0.5000 0.5000 0.5000
Os 0.0000 0.0000 0.0000
La 0.0000 0.5000 0.0000
La 0.0000 0.0000 0.5000
La 0.5000 0.0000 0.0000

Summary:
**DFT formation energy**: 0.05 eV per atom

Ρ per entry: 9250 5838 kg/m3
Electronic total energy per entry: -7.23 -5.99 eV/atom